The following is a DFT calculation (PBE) of a geometry-optimized K2BaCdCl6 structure.

a b c (Å): 6.2168 7.7395 7.7395
angles (deg): 90.00 90.00 90.00
Last column: nearest neighbours and their distance in Å.
Positions (direct):
K (0.9978, 0.5000, 0.0000)  4 Cl 3.23
K (0.9978, 0.0000, 0.5000)  4 Cl 3.23
Ba (0.6108, 0.5000, 0.5000)  6 Cl 3.00-3.21
Cd (0.6072, 0.0000, 0.0000)  5 Cl 2.48-2.63
Cl (0.7242, 0.2312, 0.2312)  1 Cd 2.63
Cl (0.7242, 0.2312, 0.7688)  1 Cd 2.63
Cl (0.1279, 0.5000, 0.5000)  2 Ba 3.00-3.21
Cl (0.2081, 0.0000, 0.0000)  1 Cd 2.48
Cl (0.7242, 0.7688, 0.7688)  1 Cd 2.63
Cl (0.7242, 0.7688, 0.2312)  1 Cd 2.63

Summary:
**DOS at the Fermi energy**: 0.0 states/eV per cell
**Total moment**: 0.19 μB per cell
**DFT total energy**: -3.41 eV per atom


The following is a DFT calculation (PBE) of a geometry-optimized BaLi2CdCl6 structure.

a b c (Å): 8.1314 8.8663 8.8663
angles (deg): 79.25 70.61 70.61
Last column: nearest neighbours and their distance in Å.
Positions (direct):
Ba (0.2500, 0.8169, 0.1831)  8 Cl 3.11-3.39
Ba (0.7500, 0.1831, 0.8169)  8 Cl 3.11-3.39
Li (0.2976, 0.7188, 0.6415)  4 Cl 2.40-2.49
Li (0.2024, 0.3585, 0.2812)  4 Cl 2.40-2.49
Li (0.7024, 0.2812, 0.3585)  4 Cl 2.40-2.49
Li (0.7976, 0.6415, 0.7188)  4 Cl 2.40-2.49
Cd (0.2500, 0.1927, 0.8073)  4 Cl 2.45-2.55
Cd (0.7500, 0.8073, 0.1927)  4 Cl 2.45-2.55
Cl (0.1606, 0.9385, 0.8248)  1 Li 2.49, 1 Cd 2.55
Cl (0.3394, 0.1752, 0.0615)  1 Li 2.49, 1 Cd 2.55
Cl (0.8394, 0.0615, 0.1752)  1 Li 2.49, 1 Cd 2.55
Cl (0.6606, 0.8248, 0.9385)  1 Li 2.49, 1 Cd 2.55
Cl (0.4576, 0.8574, 0.4035)  1 Li 2.43, 1 Cd 2.45
Cl (0.0424, 0.5965, 0.1426)  1 Li 2.43, 1 Cd 2.45
Cl (0.5424, 0.1426, 0.5965)  1 Li 2.43, 1 Cd 2.45
Cl (0.9576, 0.4035, 0.8574)  1 Li 2.43, 1 Cd 2.45
Cl (0.0407, 0.7434, 0.5445)  2 Li 2.40-2.44
Cl (0.4593, 0.4555, 0.2566)  2 Li 2.40-2.44
Cl (0.9593, 0.2566, 0.4555)  2 Li 2.40-2.44
Cl (0.5407, 0.5445, 0.7434)  2 Li 2.40-2.44

Summary:
**DOS at the Fermi energy**: 0.0 states/eV per cell
**Total moment**: 0.00 μB per cell
**DFT total energy**: -3.53 eV per atom


The following is a DFT calculation (PBE) of a geometry-optimized Ba2LiCdCl structure.

a b c (Å): 6.2872 6.2872 4.5894
angles (deg): 90.00 90.00 90.00
Last column: nearest neighbours and their distance in Å.
Positions (direct):
Cl (0.0000, 0.0000, 0.0000)  2 Li 2.29
Li (0.0000, 0.0000, 0.5000)  2 Cl 2.29
Ba (0.0000, 0.5000, 0.0000)  2 Cl 3.14
Ba (0.5000, 0.0000, 0.0000)  2 Cl 3.14
Cd (0.5000, 0.5000, 0.5000)  8 Ba 3.89

Summary:
**DOS at the Fermi energy**: 3.0 states/eV per cell
**Total moment**: 0.00 μB per cell
**DFT total energy**: -2.46 eV per atom


The following is a DFT calculation (PBE) of a geometry-optimized BaMg2CdCl8 structure.

a b c (Å): 6.4689 6.4689 9.6204
angles (deg): 70.35 70.35 60.00
Last column: nearest neighbours and their distance in Å.
Positions (direct):
Ba (0.5000, 0.5000, 0.5000)  12 Cl 3.51-3.74
Mg (0.2581, 0.2581, 0.2258)  4 Cl 2.34-2.35
Mg (0.7419, 0.7419, 0.7742)  4 Cl 2.34-2.35
Cd (0.0000, 0.0000, 0.0000)  6 Cl 2.67
Cl (0.1700, 0.1700, 0.4899)  1 Mg 2.34
Cl (0.6234, 0.2909, 0.1753)  1 Mg 2.35
Cl (0.8300, 0.8300, 0.5101)  1 Mg 2.34
Cl (0.9104, 0.6234, 0.1753)  1 Mg 2.35
Cl (0.0896, 0.3766, 0.8247)  1 Mg 2.35
Cl (0.2909, 0.9104, 0.1753)  1 Mg 2.35
Cl (0.7091, 0.0896, 0.8247)  1 Mg 2.35
Cl (0.3766, 0.7091, 0.8247)  1 Mg 2.35

Summary:
**DOS at the Fermi energy**: 0.0 states/eV per cell
**Total moment**: 0.00 μB per cell
**DFT total energy**: -3.46 eV per atom


The following is a DFT calculation (PBE) of a geometry-optimized BaMgCd2Cl8 structure.

a b c (Å): 6.5729 6.5729 8.8785
angles (deg): 90.00 90.00 120.00
Last column: nearest neighbours and their distance in Å.
Positions (direct):
Ba (0.0000, 0.0000, 0.0000)  12 Cl 3.50-3.79
Mg (0.0000, 0.0000, 0.5000)  6 Cl 2.50
Cd (0.6667, 0.3333, 0.2821)  4 Cl 2.49-2.50
Cd (0.3333, 0.6667, 0.7179)  4 Cl 2.49-2.50
Cl (0.3333, 0.6667, 0.9988)  1 Cd 2.49
Cl (0.2814, 0.3133, 0.3257)  1 Mg 2.50, 1 Cd 2.50
Cl (0.6867, 0.9681, 0.3257)  1 Mg 2.50, 1 Cd 2.50
Cl (0.6667, 0.3333, 0.0012)  1 Cd 2.49
Cl (0.3133, 0.0319, 0.6743)  1 Mg 2.50, 1 Cd 2.50
Cl (0.7186, 0.6867, 0.6743)  1 Mg 2.50, 1 Cd 2.50
Cl (0.9681, 0.2814, 0.6743)  1 Mg 2.50, 1 Cd 2.50
Cl (0.0319, 0.7186, 0.3257)  1 Mg 2.50, 1 Cd 2.50

Summary:
**DOS at the Fermi energy**: 0.0 states/eV per cell
**Total moment**: 0.00 μB per cell
**DFT total energy**: -3.23 eV per atom


The following is a DFT calculation (PBE) of a geometry-optimized BaMnCd2Cl8 structure.

a b c (Å): 6.4921 6.2702 8.2951
angles (deg): 89.98 89.98 88.10
Last column: nearest neighbours and their distance in Å.
Positions (direct):
Ba (0.0000, 0.0000, 0.5000)  6 Cl 3.02-3.04
Mn (0.0000, 0.0000, 0.0000)  6 Cl 2.50-2.75
Cd (0.5001, 0.5001, 0.7667)  6 Cl 2.69-2.74
Cd (0.4999, 0.4999, 0.2333)  6 Cl 2.69-2.74
Cl (0.1667, 0.7637, 0.2088)  1 Mn 2.50, 1 Cd 2.69
Cl (0.6710, 0.7339, 0.0000)  2 Cd 2.69, 1 Mn 2.75
Cl (0.8331, 0.2361, 0.2087)  1 Mn 2.50, 1 Cd 2.69
Cl (0.8333, 0.2363, 0.7912)  1 Mn 2.50, 1 Cd 2.69
Cl (0.3290, 0.2661, 0.0000)  2 Cd 2.69, 1 Mn 2.75
Cl (0.1669, 0.7639, 0.7913)  1 Mn 2.50, 1 Cd 2.69
Cl (0.6300, 0.7140, 0.5000)  2 Cd 2.73-2.74, 1 Ba 3.04
Cl (0.3700, 0.2860, 0.5000)  2 Cd 2.73-2.74, 1 Ba 3.04

Summary:
**DOS at the Fermi energy**: 0.0 states/eV per cell
**Total moment**: 5.00 μB per cell
**DFT total energy**: -3.69 eV per atom


The following is a DFT calculation (PBE) of a geometry-optimized BaMn2CdCl8 structure.

a b c (Å): 6.4587 6.2478 8.1001
angles (deg): 89.99 89.99 88.26
Last column: nearest neighbours and their distance in Å.
Positions (direct):
Ba (0.0000, 0.0000, 0.5000)  6 Cl 3.00-3.05
Mn (0.5000, 0.4998, 0.7629)  6 Cl 2.53-2.64
Mn (0.5000, 0.5002, 0.2371)  6 Cl 2.53-2.64
Cd (0.0000, 0.0000, 0.0000)  6 Cl 2.64-2.85
Cl (0.1801, 0.7424, 0.2193)  1 Mn 2.53, 1 Cd 2.64
Cl (0.6575, 0.7227, 0.0000)  2 Mn 2.60, 1 Cd 2.85
Cl (0.8197, 0.2574, 0.2192)  1 Mn 2.53, 1 Cd 2.64
Cl (0.8199, 0.2576, 0.7807)  1 Mn 2.53, 1 Cd 2.64
Cl (0.3425, 0.2773, 0.0000)  2 Mn 2.60, 1 Cd 2.85
Cl (0.1803, 0.7426, 0.7808)  1 Mn 2.53, 1 Cd 2.64
Cl (0.6310, 0.7064, 0.4999)  2 Mn 2.64
Cl (0.3690, 0.2936, 0.5001)  2 Mn 2.64

Summary:
**DOS at the Fermi energy**: 0.0 states/eV per cell
**Total moment**: 10.00 μB per cell
**DFT total energy**: -4.36 eV per atom


The following is a DFT calculation (PBE) of a geometry-optimized BaNa2CdCl6 structure.

a b c (Å): 6.2924 7.5853 7.5853
angles (deg): 90.00 90.00 90.00
Last column: nearest neighbours and their distance in Å.
Positions (direct):
Ba (0.5967, 0.5000, 0.5000)  5 Cl 2.95-3.04
Na (0.9186, 0.5000, 0.0000)  4 Cl 2.87
Na (0.9186, 0.0000, 0.5000)  4 Cl 2.87
Cd (0.6186, 0.0000, 0.0000)  5 Cl 2.43-2.65
Cl (0.7585, 0.2328, 0.2328)  1 Cd 2.65, 2 Na 2.87
Cl (0.7585, 0.2328, 0.7672)  1 Cd 2.65, 2 Na 2.87
Cl (0.1275, 0.5000, 0.5000)  1 Ba 2.95
Cl (0.2328, 0.0000, 0.0000)  1 Cd 2.43
Cl (0.7585, 0.7672, 0.7672)  1 Cd 2.65, 2 Na 2.87
Cl (0.7585, 0.7672, 0.2328)  1 Cd 2.65, 2 Na 2.87

Summary:
**DOS at the Fermi energy**: 0.0 states/eV per cell
**Total moment**: 0.18 μB per cell
**DFT total energy**: -3.33 eV per atom


The following is a DFT calculation (PBE) of a geometry-optimized BaCdPCl2 structure.

a b c (Å): 5.3469 5.3469 5.1143
angles (deg): 90.00 90.00 90.00
Last column: nearest neighbours and their distance in Å.
Positions (direct):
P (0.0000, 0.0000, 0.5000)  2 Cd 2.56
Cl (0.0000, 0.5000, 0.0000)  2 Cd 2.67
Cl (0.5000, 0.0000, 0.0000)  2 Cd 2.67
Ba (0.5000, 0.5000, 0.5000)  8 Cl 3.70, 4 P 3.78
Cd (0.0000, 0.0000, 0.0000)  2 P 2.56, 4 Cl 2.67

Summary:
**DOS at the Fermi energy**: 3.2 states/eV per cell
**Total moment**: 0.99 μB per cell
**DFT total energy**: -3.31 eV per atom


The following is a DFT calculation (PBE) of a geometry-optimized BaCdP2Cl structure.

a b c (Å): 4.9358 4.9358 5.8154
angles (deg): 90.00 90.00 90.00
Last column: nearest neighbours and their distance in Å.
Positions (direct):
P (0.0000, 0.5000, 0.0000)  2 Cd 2.47
P (0.5000, 0.0000, 0.0000)  2 Cd 2.47
Cl (0.0000, 0.0000, 0.5000)  2 Cd 2.91
Ba (0.5000, 0.5000, 0.5000)  4 Cl 3.49, 8 P 3.81
Cd (0.0000, 0.0000, 0.0000)  4 P 2.47

Summary:
**DOS at the Fermi energy**: 4.9 states/eV per cell
**Total moment**: 0.39 μB per cell
**DFT total energy**: -3.44 eV per atom


The following is a DFT calculation (PBE) of a geometry-optimized BaCdPCl2 structure.

a b c (Å): 5.9278 5.9278 6.6645
angles (deg): 90.00 90.00 90.00
Last column: nearest neighbours and their distance in Å.
Positions (direct):
P (0.0000, 0.0000, 0.5000)  2 Ba 3.33
Cl (0.0000, 0.5000, 0.0000)  2 Ba 2.96
Cl (0.5000, 0.0000, 0.0000)  2 Ba 2.96
Ba (0.0000, 0.0000, 0.0000)  4 Cl 2.96
Cd (0.5000, 0.5000, 0.5000)  4 P 4.19, 8 Cl 4.46

Summary:
**DOS at the Fermi energy**: 3.1 states/eV per cell
**Total moment**: 2.22 μB per cell
**DFT total energy**: -2.90 eV per atom